Computed, not measured: a geometry-optimized CaInNF2 structure at the GGA-PBE level of DFT.

abc: 4.3649 4.3649 4.3137
angles: 90.00 90.00 90.00
Atoms (fractional coordinates):
1 N 0.0000 0.0000 0.5000
2 Ca 0.5000 0.5000 0.5000
3 F 0.0000 0.5000 0.0000
4 F 0.5000 0.0000 0.0000
5 In 0.0000 0.0000 0.0000

Energy in eV/atom: -4.888
E above lowest polymorph in eV/atom: 0.000
Raw formation energy in eV/atom: -1.5266
Total magnetization in μB per atom: 0.000

Computed, not measured: a geometry-optimized Li2Mg2CdGa2 structure at the GGA-PBE level of DFT.

abc: 3.8620 5.3700 6.9199
angles: 98.48 90.00 111.08
Atoms (fractional coordinates):
1 Li 0.7071 0.4141 0.1503
2 Li 0.2929 0.5859 0.8497
3 Mg 0.5739 0.1478 0.7059
4 Mg 0.4261 0.8522 0.2941
5 Cd 0.0000 0.0000 0.0000
6 Ga 0.1570 0.3140 0.4295
7 Ga 0.8430 0.6860 0.5705

Energy in eV/atom: -2.170
Energy of formation from the pure elements in eV per atom: -0.172
Total magnetization in μB per atom: 0.000

Computed, not measured: a geometry-optimized Li2NiOs structure at the GGA-PBE level of DFT.

abc: 6.5294 6.5294 5.1914
angles: 51.03 51.03 90.00
Atoms (fractional coordinates):
1 Ni 0.5000 0.5000 0.0000
2 Ni 0.2500 0.7500 0.5000
3 Os 0.0000 0.0000 0.0000
4 Os 0.7500 0.2500 0.5000
5 Li 0.6038 0.1250 0.2500
6 Li 0.1462 0.6250 0.2500
7 Li 0.3750 0.3962 0.7500
8 Li 0.8750 0.8538 0.7500

Energy in eV/atom: -4.520
Energy of formation from the pure elements in eV per atom: 0.689
E above lowest polymorph in eV/atom: 0.640
Total magnetization in μB per atom: 0.000

Computed, not measured: a geometry-optimized FeHIrRh2 structure at the GGA-PBE level of DFT.

abc: 3.8232 3.8232 3.8145
angles: 90.00 90.00 90.00
Atoms (fractional coordinates):
1 H 0.0000 0.0000 0.0000
2 Ir 0.5000 0.5000 0.5000
3 Rh 0.0000 0.5000 0.0000
4 Rh 0.5000 0.0000 0.0000
5 Fe 0.0000 0.0000 0.5000

Energy in eV/atom: -6.981
E above lowest polymorph in eV/atom: 0.097
Total magnetization in μB per atom: 0.000

Computed, not measured: a geometry-optimized Ho5Bi2Pb structure at the GGA-PBE level of DFT.

abc: 5.9543 6.5782 14.3323
angles: 90.00 90.00 116.91
Atoms (fractional coordinates):
1 Ho 0.9257 0.8513 0.8987
2 Ho 0.9257 0.8513 0.6013
3 Ho 0.3791 0.7581 0.4507
4 Ho 0.3791 0.7581 0.0493
5 Ho 0.5834 0.1668 0.2500
6 Ho 0.4166 0.8332 0.7500
7 Ho 0.6209 0.2419 0.5493
8 Ho 0.6209 0.2419 0.9507
9 Ho 0.0743 0.1487 0.1013
10 Ho 0.0743 0.1487 0.3987
11 Bi 0.8016 0.6033 0.3875
12 Bi 0.8016 0.6033 0.1125
13 Bi 0.1984 0.3967 0.6125
14 Bi 0.1984 0.3967 0.8875
15 Pb 0.7215 0.4430 0.7500
16 Pb 0.2785 0.5570 0.2500

Energy in eV/atom: -4.572
Energy of formation from the pure elements in eV per atom: -0.277
Total magnetization in μB per atom: 0.000

Computed, not measured: a geometry-optimized Pu8PtRh5 structure at the GGA-PBE level of DFT.

abc: 7.3877 7.3877 7.3877
angles: 109.51 109.39 109.51
Last column: magnetic moment on the atom in μB.
Atoms (fractional coordinates):
1 Pu 0.1235 0.7555 0.0188  5.17
2 Pu 0.9812 0.1047 0.7367  5.17
3 Pu 0.7622 0.2471 0.3723  5.16
4 Pu 0.6277 0.3899 0.8749  5.16
5 Pu 0.4850 0.6101 0.2378  5.16
6 Pu 0.6320 0.8953 0.8765  5.17
7 Pu 0.2633 0.2445 0.3680  5.17
8 Pu 0.1251 0.7529 0.5150  5.16
9 Pt 0.2500 0.5000 0.7500  -0.08
10 Rh 0.0053 0.3804 0.1293  -0.31
11 Rh 0.8707 0.8760 0.2511  -0.31
12 Rh 0.7489 0.6196 0.6249  -0.31
13 Rh 0.5000 0.0000 0.5000  -0.31
14 Rh 0.3751 0.1240 0.9947  -0.31

Energy in eV/atom: -11.678
Energy of formation from the pure elements in eV per atom: -0.431
Total magnetization in μB per atom: 2.980